# LuHf2Fe (PBE-GGA, relaxed)
# Calculated total energy ... -7.839 eV/atom
# E_form ... 0.35 eV/atom
# Density ... 12455 kg/m3
# Symmetry ... F-43m (216)
data_LuHf2Fe
_cell_length_a 4.803
_cell_length_b 4.803
_cell_length_c 4.803
_cell_angle_alpha 60.00
_cell_angle_beta 60.00
_cell_angle_gamma 60.00
_symmetry_space_group_name_H-M 'P 1'
_symmetry_Int_Tables_number 1
loop_
_symmetry_equiv_pos_as_xyz
'x,y,z'
loop_
_atom_site_label
_atom_site_fract_x
_atom_site_fract_y
_atom_site_fract_z
Fe1 0.250 0.250 0.250
Lu1 0.500 0.500 0.500
Hf1 0.000 0.000 0.000
Hf2 0.750 0.750 0.750